Record 1
SbIr3: relaxed, PBE.

Unit cell a=5.6718 b=5.6718 c=9.1505 alpha=90.00 beta=90.00 gamma=120.00
Fractional positions:
Sb1 0.0000 0.0000 0.0000
Sb2 0.0000 0.0000 0.5000
Sb3 0.3333 0.6667 0.2500
Sb4 0.6667 0.3333 0.7500
Ir1 0.5000 0.0000 0.0000
Ir2 0.5000 0.0000 0.5000
Ir3 0.0000 0.5000 0.0000
Ir4 0.5000 0.5000 0.0000
Ir5 0.5000 0.5000 0.5000
Ir6 0.0000 0.5000 0.5000
Ir7 0.8278 0.6557 0.2500
Ir8 0.1722 0.3443 0.7500
Ir9 0.3443 0.1722 0.2500
Ir10 0.8278 0.1722 0.2500
Ir11 0.1722 0.8278 0.7500
Ir12 0.6557 0.8278 0.7500

Crystal system: hexagonal
VASP energy (eV/atom): -7.529
Raw formation energy (eV/atom): 0.147
M_tot (μB per formula unit): 0.00


Record 2
Sb2Ir: relaxed, PBE.

Unit cell a=4.5922 b=4.5922 c=4.5922 alpha=60.00 beta=60.00 gamma=60.00
Fractional positions:
Ir1 0.0000 0.0000 0.0000
Sb1 0.2500 0.2500 0.2500
Sb2 0.7500 0.7500 0.7500

Crystal system: cubic
VASP energy (eV/atom): -5.889
Raw formation energy (eV/atom): -0.187
M_tot (μB per formula unit): 0.00


Record 3
Sb2Ir: relaxed, PBE.

Unit cell a=4.5115 b=4.5115 c=7.8099 alpha=90.00 beta=90.00 gamma=120.00
Fractional positions:
Sb1 0.0000 0.0000 0.0000
Sb2 0.0000 0.0000 0.5000
Sb3 0.3333 0.6667 0.7500
Sb4 0.6667 0.3333 0.2500
Ir1 0.3333 0.6667 0.2500
Ir2 0.6667 0.3333 0.7500

Crystal system: hexagonal
VASP energy (eV/atom): -5.424
Raw formation energy (eV/atom): 0.278
M_tot (μB per formula unit): 0.00


Record 4
SbIr2: relaxed, PBE.

Unit cell a=13.0670 b=13.0670 c=13.0670 alpha=162.48 beta=162.48 gamma=24.87
Fractional positions:
Sb1 0.9244 0.9244 0.0000
Sb2 0.0756 0.0756 0.0000
Sb3 0.1744 0.6744 0.5000
Sb4 0.3256 0.8256 0.5000
Ir1 0.7478 0.7478 0.0000
Ir2 0.2522 0.2522 0.0000
Ir3 0.9978 0.4978 0.5000
Ir4 0.5022 0.0022 0.5000
Ir5 0.5806 0.5806 0.0000
Ir6 0.4194 0.4194 0.0000
Ir7 0.8306 0.3306 0.5000
Ir8 0.6694 0.1694 0.5000

Crystal system: tetragonal
VASP energy (eV/atom): -7.119
Raw formation energy (eV/atom): 0.163
M_tot (μB per formula unit): 0.00


Record 5
Sb3Ir: relaxed, PBE.

Unit cell a=3.7653 b=6.6096 c=8.2587 alpha=90.00 beta=90.00 gamma=90.00
Fractional positions:
Sb1 0.5000 0.1861 0.0000
Sb2 0.0000 0.8139 0.5000
Sb3 0.0000 0.3046 0.3069
Sb4 0.0000 0.3046 0.6931
Sb5 0.5000 0.6954 0.8069
Sb6 0.5000 0.6954 0.1931
Ir1 0.0000 0.4858 0.0000
Ir2 0.5000 0.5142 0.5000

Polymorph energy (0 for the lowest one) (eV per formula unit): 1.23
Crystal system: orthorhombic
VASP energy (eV/atom): -5.346
Raw formation energy (eV/atom): -0.039
M_tot (μB per formula unit): 0.00


Record 6
SbIr5: relaxed, PBE.

Unit cell a=6.2630 b=6.2630 c=3.9443 alpha=90.00 beta=90.00 gamma=143.21
Fractional positions:
Sb1 0.5000 0.5000 0.0000
Ir1 0.3284 0.6716 0.5000
Ir2 0.1690 0.8310 0.0000
Ir3 0.0000 0.0000 0.5000
Ir4 0.8310 0.1690 0.0000
Ir5 0.6716 0.3284 0.5000

Crystal system: orthorhombic
VASP energy (eV/atom): -7.927
Raw formation energy (eV/atom): 0.144
M_tot (μB per formula unit): 0.00


Record 7
Sb2Ir: relaxed, PBE.

Unit cell a=4.9795 b=4.9795 c=3.0367 alpha=90.00 beta=90.00 gamma=120.00
Fractional positions:
Sb1 0.6667 0.3333 0.0000
Sb2 0.3333 0.6667 0.0000
Ir1 0.0000 0.0000 0.5000

Crystal system: hexagonal
VASP energy (eV/atom): -4.918
Raw formation energy (eV/atom): 0.784
M_tot (μB per formula unit): 0.00


Record 8
Sb3Ir: relaxed, PBE.

Unit cell a=10.7013 b=10.7013 c=10.7013 alpha=155.87 beta=155.87 gamma=34.38
Fractional positions:
Sb1 0.0000 0.5000 0.5000
Sb2 0.5000 0.0000 0.5000
Sb3 0.7500 0.2500 0.5000
Sb4 0.2500 0.7500 0.5000
Sb5 0.8869 0.8869 0.0000
Sb6 0.1131 0.1131 0.0000
Ir1 0.6803 0.6803 0.0000
Ir2 0.3197 0.3197 0.0000

Polymorph energy (0 for the lowest one) (eV per formula unit): 2.73
Crystal system: tetragonal
VASP energy (eV/atom): -4.971
Raw formation energy (eV/atom): 0.336
M_tot (μB per formula unit): 0.00


DOS(E_F) per entry: 5.8; 0.6; 2.5; 4.4; 4.2; 6.0; 2.1; 4.9 states/eV/cell